(1)
## Tb8SnPb5 (PBE)

Data for Tb8SnPb5 after structural relaxation.

Cell lengths 8.159, 8.159, 8.159 Å; angles 109.46, 109.48, 109.46 degrees
Positions (direct):
Tb (0.125, 0.748, 0.013)
Tb (0.987, 0.112, 0.736)
Tb (0.768, 0.251, 0.378)
Tb (0.622, 0.391, 0.874)
Tb (0.483, 0.609, 0.232)
Tb (0.623, 0.888, 0.875)
Tb (0.264, 0.252, 0.377)
Tb (0.126, 0.749, 0.517)
Sn (0.250, 0.500, 0.750)
Pb (0.998, 0.375, 0.124)
Pb (0.876, 0.875, 0.251)
Pb (0.749, 0.625, 0.624)
Pb (0.500, 0.000, 0.500)
Pb (0.376, 0.125, 0.002)

Computed properties:
**Volume**: 29.86 Å³ per atom
**SG**: I-4 (82)
**E_form**: -581.4 meV/atom

***

(2)
## TbSnPb2 (PBE)

Data for TbSnPb2 after structural relaxation.

Cell lengths 4.199, 4.199, 6.530 Å; angles 90.00, 90.00, 90.00 degrees
Positions (direct):
Pb (0.000, 0.000, 0.749)
Pb (0.000, 0.000, 0.251)
Tb (0.500, 0.500, 0.500)
Sn (0.500, 0.500, 0.000)

Computed properties:
**Volume**: 28.79 Å³ per atom
**SG**: P4/mmm (123)
**E_form**: -239.7 meV/atom
**Energy above the lowest structure with this stoichiometry**: 0.38 eV/f.u.

***

(3)
## Tb2SnPb (PBE)

Data for Tb2SnPb after structural relaxation.

Cell lengths 4.017, 4.017, 8.954 Å; angles 77.04, 77.04, 60.00 degrees
Positions (direct):
Pb (0.500, 0.500, 0.500)
Tb (0.253, 0.253, 0.242)
Tb (0.747, 0.747, 0.758)
Sn (0.000, 0.000, 0.000)

Computed properties:
**Volume**: 30.22 Å³ per atom
**SG**: R-3m (166)
**E_form**: -454.7 meV/atom
**Energy above the lowest structure with this stoichiometry**: 0.65 eV/f.u.

***

(4)
## TbSnPb (PBE)

Data for TbSnPb after structural relaxation.

Cell lengths 3.385, 5.408, 5.408 Å; angles 120.00, 90.00, 90.00 degrees
Positions (direct):
Pb (0.173, 0.333, 0.667)
Tb (0.667, 0.667, 0.333)
Sn (0.159, 0.000, 0.000)

Computed properties:
**Volume**: 28.57 Å³ per atom
**SG**: P3m1 (156)
**E_form**: -276.0 meV/atom
**Energy above the lowest structure with this stoichiometry**: 0.67 eV/f.u.

***

(5)
## Tb2SnPb (PBE)

Data for Tb2SnPb after structural relaxation.

Cell lengths 3.513, 3.513, 8.925 Å; angles 90.00, 90.00, 90.00 degrees
Positions (direct):
Pb (0.500, 0.500, 0.500)
Tb (0.000, 0.000, 0.758)
Tb (0.000, 0.000, 0.242)
Sn (0.500, 0.500, 0.000)

Computed properties:
**Volume**: 27.53 Å³ per atom
**SG**: P4/mmm (123)
**E_form**: -547.2 meV/atom
**Energy above the lowest structure with this stoichiometry**: 0.28 eV/f.u.

***

(6)
## TbSn2Pb (PBE)

Data for TbSn2Pb after structural relaxation.

Cell lengths 4.988, 4.988, 8.524 Å; angles 72.99, 72.99, 60.00 degrees
Positions (direct):
Pb (0.000, 0.000, 0.000)
Tb (0.500, 0.500, 0.500)
Sn (0.120, 0.120, 0.640)
Sn (0.880, 0.880, 0.360)

Computed properties:
**Volume**: 43.22 Å³ per atom
**SG**: R-3m (166)
**E_form**: 296.9 meV/atom
**Energy above the lowest structure with this stoichiometry**: 2.71 eV/f.u.

***

Please write out number 4 again, unchanged.
## TbSnPb (PBE)

Data for TbSnPb after structural relaxation.

Cell lengths 3.385, 5.408, 5.408 Å; angles 120.00, 90.00, 90.00 degrees
Positions (direct):
Pb (0.173, 0.333, 0.667)
Tb (0.667, 0.667, 0.333)
Sn (0.159, 0.000, 0.000)

Computed properties:
**Volume**: 28.57 Å³ per atom
**SG**: P3m1 (156)
**E_form**: -276.0 meV/atom
**Energy above the lowest structure with this stoichiometry**: 0.67 eV/f.u.